Entry i
4
Lattice="3.587 0.000 0.000 0.000 3.394 0.000 0.000 0.000 7.465" Properties=species:S:1:pos:R:3 comment="PBE Cd2PBr, optimized geometry" magnetic_moment_mub_per_atom=0.000 pbc="T T T"
Cd 0.000 0.000 3.416
Br 1.794 1.697 5.599
P 1.794 1.697 1.866
Cd 0.000 0.000 0.316


Entry ii
4
Lattice="5.035 0.000 0.000 2.518 4.361 0.000 2.518 1.454 4.111" Properties=species:S:1:pos:R:3 comment="PBE Cd2PBr, optimized geometry" magnetic_moment_mub_per_atom=0.000 pbc="T T T"
Cd 7.553 4.361 3.083
Cd 0.000 0.000 0.000
P 2.518 1.454 1.028
Br 5.035 2.907 2.056


Entry iii
4
Lattice="-0.384 3.287 -6.431 2.099 0.660 -6.890 -2.874 -2.523 -1.108" Properties=species:S:1:pos:R:3 comment="PBE Cd2PBr, optimized geometry" magnetic_moment_mub_per_atom=0.000 pbc="T T T"
P -1.006 0.245 -6.847
Cd -0.353 -0.296 -0.214
Br 0.007 0.522 -2.951
Cd -0.386 1.666 -11.632


Entry iv
4
Lattice="5.195 0.000 0.000 0.000 5.222 0.000 0.000 0.000 3.277" Properties=species:S:1:pos:R:3 comment="PBE Cd2PBr, optimized geometry" magnetic_moment_mub_per_atom=0.000 pbc="T T T"
Cd 2.597 2.611 0.000
P 2.597 0.000 1.639
Cd 0.000 0.000 0.000
Br 0.000 2.611 1.639


Most stable structure, least stable structure: entry iii, entry ii.


Entry i
4
Lattice="6.838 -1.468 -1.780 6.129 -0.951 3.689 -7.017 -1.501 -0.767" Properties=species:S:1:pos:R:3 comment="PBE Cd2PBr, optimized geometry" magnetic_moment_mub_per_atom=0.034 pbc="T T T"
Cd 2.798 -1.831 1.938
Br 3.152 -2.089 -0.796
P 6.483 -1.209 0.955
Cd 0.000 0.000 0.000


Entry ii
4
Lattice="-4.117 5.013 -2.431 -5.491 2.417 -3.464 -3.615 0.700 3.051" Properties=species:S:1:pos:R:3 comment="PBE Cd2PBr, optimized geometry" magnetic_moment_mub_per_atom=0.000 pbc="T T T"
Cd -6.270 3.694 -0.945
P -9.917 6.097 -2.133
Br -3.306 2.032 -0.711
Cd -3.956 1.071 2.574


Most stable structure, least stable structure: entry i, entry ii.


Entry i
5
Lattice="-1.532 4.218 -2.570 2.044 -1.908 -4.350 -4.225 -2.165 -1.035" Properties=species:S:1:pos:R:3 comment="PBE CdP2SBr, optimized geometry" magnetic_moment_mub_per_atom=0.327 pbc="T T T"
Cd 0.000 0.000 0.000
S -2.113 -1.083 -0.518
P 1.022 -0.954 -2.175
Br -1.857 0.072 -3.978
P -0.766 2.109 -1.285


Entry ii
5
Lattice="4.965 0.000 0.000 0.000 4.965 0.000 0.000 0.000 4.765" Properties=species:S:1:pos:R:3 comment="PBE CdP2SBr, optimized geometry" magnetic_moment_mub_per_atom=0.132 pbc="T T T"
Cd 2.483 2.483 2.383
P 2.483 0.000 0.000
S 0.000 0.000 2.383
P 0.000 2.483 0.000
Br 0.000 0.000 0.000


Most stable structure, least stable structure: entry i, entry ii.


Entry i
5
Lattice="-4.867 0.212 1.288 1.162 -1.567 4.646 0.605 4.858 1.487" Properties=species:S:1:pos:R:3 comment="PBE CdPSeBr2, optimized geometry" magnetic_moment_mub_per_atom=0.000 pbc="T T T"
P 0.000 0.000 0.000
Br 0.581 -0.784 2.323
Se 0.303 2.429 0.744
Cd -1.550 1.751 3.711
Br -2.434 0.106 0.644


Entry ii
5
Lattice="-4.168 -0.500 -3.316 -1.906 -3.999 2.999 -2.891 3.687 3.078" Properties=species:S:1:pos:R:3 comment="PBE CdPSeBr2, optimized geometry" magnetic_moment_mub_per_atom=0.202 pbc="T T T"
Cd 0.000 0.000 0.000
P -4.483 -0.406 1.381
Br -0.953 -1.999 1.500
Se -1.446 1.843 1.539
Br -2.084 -0.250 -1.658


Most stable structure, least stable structure: entry i, entry ii.


Entry i
5
Lattice="4.956 0.000 0.000 0.000 4.984 0.000 0.000 0.000 4.956" Properties=species:S:1:pos:R:3 comment="PBE CdPSe2Br, optimized geometry" magnetic_moment_mub_per_atom=0.000 pbc="T T T"
P 0.000 0.000 0.000
Se 2.478 0.000 0.000
Cd 2.478 2.492 2.478
Se 0.000 0.000 2.478
Br 0.000 2.492 0.000


Entry ii
5
Lattice="5.334 0.000 0.000 0.000 5.334 0.000 0.000 0.000 5.290" Properties=species:S:1:pos:R:3 comment="PBE CdPSe2Br, optimized geometry" magnetic_moment_mub_per_atom=0.090 pbc="T T T"
P 2.667 2.667 2.645
Se 0.000 2.667 0.000
Cd 0.000 0.000 0.000
Br 0.000 0.000 2.645
Se 2.667 0.000 0.000


Most stable structure, least stable structure: entry i, entry ii.


Entry i
8
Lattice="7.061 0.010 0.007 3.523 6.120 0.011 3.521 2.035 6.451" Properties=species:S:1:pos:R:3 comment="PBE PaCdBr6, optimized geometry" magnetic_moment_mub_per_atom=0.128 pbc="T T T"
Br 8.153 6.132 4.850
Br 5.952 2.033 1.620
Cd 7.052 4.082 3.235
Br 9.382 4.155 1.626
Pa 0.000 0.000 0.000
Br 4.723 4.009 4.844
Br 5.829 6.065 1.624
Br 8.276 2.100 4.846


Entry ii
8
Lattice="6.856 0.184 -1.284 -1.975 6.453 -3.306 0.238 -1.087 7.432" Properties=species:S:1:pos:R:3 comment="PBE PaCdBr6, optimized geometry" magnetic_moment_mub_per_atom=0.127 pbc="T T T"
Br 1.575 0.250 2.287
Br 0.476 4.041 2.739
Br 4.198 3.072 3.727
Br 3.544 5.299 0.555
Br 0.921 2.478 -0.886
Cd 0.000 0.000 0.000
Pa 2.560 2.775 1.421
Br 4.643 1.509 0.103


Most stable structure, least stable structure: entry ii, entry i.


Entry i
10
Lattice="-4.788 -7.007 -1.583 -0.194 -1.775 8.446 -3.342 2.197 0.385" Properties=species:S:1:pos:R:3 comment="PBE Cd2Pb2Br, optimized geometry" magnetic_moment_mub_per_atom=0.000 pbc="T T T"
Cd -5.764 -5.398 1.741
Cd -4.990 -5.012 6.252
Pb -1.879 -4.029 6.678
Pb -0.751 -1.632 2.796
Pb -3.103 -4.753 0.185
Br 0.000 0.000 0.000
Br -2.491 -4.391 3.432
Cd -2.561 -1.186 5.508
Cd -3.334 -1.572 0.997
Pb -4.231 -7.150 4.067


Entry ii
10
Lattice="8.865 0.000 0.000 0.000 8.865 0.000 0.000 0.000 3.703" Properties=species:S:1:pos:R:3 comment="PBE Cd2Pb2Br, optimized geometry" magnetic_moment_mub_per_atom=0.000 pbc="T T T"
Pb 6.103 7.195 1.852
Pb 1.670 6.103 1.852
Br 4.432 4.432 0.000
Cd 1.037 3.396 0.000
Cd 7.828 5.469 0.000
Cd 5.469 1.037 0.000
Br 0.000 0.000 0.000
Cd 3.396 7.828 0.000
Pb 2.762 1.670 1.852
Pb 7.195 2.762 1.852


Most stable structure, least stable structure: entry i, entry ii.


Entry i
5
Lattice="-3.202 -3.828 2.575 3.009 -4.109 -2.367 3.497 0.030 4.394" Properties=species:S:1:pos:R:3 comment="PBE Cd3PbBr, optimized geometry" magnetic_moment_mub_per_atom=0.000 pbc="T T T"
Cd 1.748 0.015 2.197
Cd -1.601 -1.914 1.287
Pb 1.652 -3.953 2.301
Cd 1.504 -2.054 -1.183
Br 0.000 0.000 0.000


Entry ii
5
Lattice="5.737 0.000 0.000 0.000 5.737 0.000 0.000 0.000 5.737" Properties=species:S:1:pos:R:3 comment="PBE Cd3PbBr, optimized geometry" magnetic_moment_mub_per_atom=0.000 pbc="T T T"
Cd 2.868 0.000 0.000
Cd 0.000 2.868 0.000
Pb 0.000 0.000 0.000
Br 2.868 2.868 2.868
Cd 0.000 0.000 2.868


Most stable structure, least stable structure: entry ii, entry i.


Entry i
5
Lattice="4.446 1.251 4.325 -3.604 -1.044 5.095 0.730 -4.146 -4.724" Properties=species:S:1:pos:R:3 comment="PBE Cd2PbBr2, optimized geometry" magnetic_moment_mub_per_atom=0.000 pbc="T T T"
Cd -1.226 -2.543 2.540
Cd 2.798 -1.396 2.155
Br 0.271 0.067 3.034
Br 0.571 0.140 6.386
Pb 0.000 0.000 0.000


Entry ii
5
Lattice="4.006 0.000 0.000 0.000 4.006 0.000 2.003 2.003 9.982" Properties=species:S:1:pos:R:3 comment="PBE Cd2PbBr2, optimized geometry" magnetic_moment_mub_per_atom=0.000 pbc="T T T"
Cd 2.003 4.006 4.991
Br 2.003 2.003 1.730
Pb 0.000 0.000 0.000
Br 4.006 4.006 8.253
Cd 4.006 2.003 4.991


Entry iii
5
Lattice="-4.548 -1.652 -0.754 1.756 -4.519 -0.692 -1.979 -4.236 5.313" Properties=species:S:1:pos:R:3 comment="PBE Cd2PbBr2, optimized geometry" magnetic_moment_mub_per_atom=0.000 pbc="T T T"
Br -0.810 -5.920 1.949
Cd -1.525 -3.340 0.611
Cd -3.247 -7.067 3.256
Pb 0.000 0.000 0.000
Br -3.962 -4.486 1.918


Most stable structure, least stable structure: entry ii, entry i.


Entry i
3
Lattice="-0.315 -1.978 -3.148 0.964 -1.696 3.181 -7.014 -1.226 1.471" Properties=species:S:1:pos:R:3 comment="PBE CdPbBr, optimized geometry" magnetic_moment_mub_per_atom=0.000 pbc="T T T"
Br -0.285 -0.050 0.060
Pb -4.019 -2.587 2.027
Cd -2.061 -2.264 -0.583


Entry ii
3
Lattice="-1.798 2.909 7.025 1.468 1.210 7.193 0.181 3.678 -0.107" Properties=species:S:1:pos:R:3 comment="PBE CdPbBr, optimized geometry" magnetic_moment_mub_per_atom=0.000 pbc="T T T"
Pb -0.163 3.975 9.530
Cd 0.006 3.829 4.798
Br -0.322 4.112 14.001


Entry iii
3
Lattice="6.316 -0.006 -0.018 3.899 4.968 0.018 -5.101 -2.495 2.765" Properties=species:S:1:pos:R:3 comment="PBE CdPbBr, optimized geometry" magnetic_moment_mub_per_atom=0.000 pbc="T T T"
Cd 3.356 1.630 0.000
Br 10.067 4.891 0.000
Pb 7.007 3.404 0.000


Most stable structure, least stable structure: entry i, entry iii.


Entry i
4
Lattice="0.000 3.337 3.337 3.337 0.000 3.337 3.337 3.337 0.000" Properties=species:S:1:pos:R:3 comment="PBE CdPd2Br, optimized geometry" magnetic_moment_mub_per_atom=0.000 pbc="T T T"
Pd 5.006 5.006 5.006
Pd 1.669 1.669 1.669
Cd 3.337 3.337 3.337
Br 0.000 0.000 0.000


Entry ii
8
Lattice="-3.008 0.160 2.937 2.633 -1.726 2.790 2.692 7.634 5.353" Properties=species:S:1:pos:R:3 comment="PBE CdPd2Br, optimized geometry" magnetic_moment_mub_per_atom=0.000 pbc="T T T"
Cd 0.000 0.000 0.000
Pd -0.853 1.792 3.499
Pd 1.670 4.370 9.003
Br 2.569 2.563 5.504
Cd -0.251 3.506 5.577
Br -0.187 -0.783 2.864
Pd 1.900 5.125 6.185
Pd 1.918 0.851 3.473


Most stable structure, least stable structure: entry i, entry ii.


Entry i
5
Lattice="-3.582 -0.973 -4.124 -1.563 -4.208 2.351 -3.876 2.934 2.675" Properties=species:S:1:pos:R:3 comment="PBE CdSn2PdBr, optimized geometry" magnetic_moment_mub_per_atom=0.000 pbc="T T T"
Br -4.511 -1.124 0.451
Sn -1.938 1.467 1.337
Pd -0.781 -2.104 1.175
Cd 0.000 0.000 0.000
Sn -1.791 -0.487 -2.062


Entry ii
5
Lattice="-3.973 3.063 2.267 -3.571 -2.120 -3.393 -1.042 -4.024 3.611" Properties=species:S:1:pos:R:3 comment="PBE CdSn2PdBr, optimized geometry" magnetic_moment_mub_per_atom=0.000 pbc="T T T"
Sn -0.521 -2.012 1.805
Cd 0.000 0.000 0.000
Br -1.785 -1.060 -1.696
Pd -4.293 -1.540 1.243
Sn -1.987 1.532 1.134


Most stable structure, least stable structure: entry i, entry ii.